Entry 1:
The following is a DFT calculation (PBE) of CaScIr2 after structural relaxation.

Cell: 4.8493 4.8493 9.3623 Å, 74.99 74.99 90.00°
Closest atoms and distances in Å follow each position.
Sites, in units of the cell vectors:
1 Ir 0.7984 0.1250 0.2500  2 Sc 2.52, 2 Ir 2.54
2 Ir 0.8750 0.0484 0.7500  2 Sc 2.52, 2 Ir 2.54
3 Ir 0.9516 0.6250 0.2500  2 Sc 2.52, 2 Ir 2.54
4 Ir 0.3750 0.2016 0.7500  2 Sc 2.52, 2 Ir 2.54
5 Ca 0.5000 0.5000 0.0000  4 Ir 3.23, 4 Sc 3.43
6 Ca 0.2500 0.7500 0.5000  4 Ir 3.23, 4 Sc 3.43
7 Sc 0.7500 0.2500 0.5000  4 Ir 2.52
8 Sc 0.0000 0.0000 0.0000  4 Ir 2.52

Properties
DFT formation energy (eV/atom): 0.05



Entry 2:
The following is a DFT calculation (PBE) of SrCa2ScIr after structural relaxation.

Cell: 5.6793 5.6793 5.1376 Å, 90.00 90.00 90.00°
Closest atoms and distances in Å follow each position.
Sites, in units of the cell vectors:
1 Sc 0.0000 0.0000 0.5000  2 Ir 2.57
2 Ca 0.0000 0.5000 0.0000  2 Ir 2.84
3 Ca 0.5000 0.0000 0.0000  2 Ir 2.84
4 Sr 0.5000 0.5000 0.5000  8 Ca 3.83, 4 Sc 4.02
5 Ir 0.0000 0.0000 0.0000  2 Sc 2.57, 4 Ca 2.84

Properties
DFT formation energy (eV/atom): -0.23



Entry 3:
The following is a DFT calculation (PBE) of CaScZnIr after structural relaxation.

Cell: 4.7819 4.7819 4.7819 Å, 60.00 60.00 60.00°
Closest atoms and distances in Å follow each position.
Sites, in units of the cell vectors:
1 Sc 0.7500 0.7500 0.7500  4 Zn 2.93, 4 Ir 2.93
2 Ca 0.2500 0.2500 0.2500  4 Ir 2.93, 4 Zn 2.93
3 Zn 0.0000 0.0000 0.0000  4 Ca 2.93, 4 Sc 2.93
4 Ir 0.5000 0.5000 0.5000  4 Sc 2.93, 4 Ca 2.93

Properties
DFT formation energy (eV/atom): -0.41



Entry 4:
The following is a DFT calculation (PBE) of CaZrScIr2 after structural relaxation.

Cell: 4.4249 4.4249 6.5021 Å, 109.89 109.89 90.00°
Closest atoms and distances in Å follow each position.
Sites, in units of the cell vectors:
1 Ca 0.0000 0.0000 0.0000  8 Ir 3.39, 4 Zr 3.61, 4 Sc 3.61
2 Sc 0.2500 0.7500 0.5000  4 Ir 2.71
3 Ir 0.6133 0.6133 0.2267  1 Ir 2.58, 2 Sc 2.71, 2 Zr 2.71
4 Ir 0.3867 0.3867 0.7733  1 Ir 2.58, 2 Zr 2.71, 2 Sc 2.71
5 Zr 0.7500 0.2500 0.5000  4 Ir 2.71

Properties
DFT formation energy (eV/atom): -0.71



Entry 5:
The following is a DFT calculation (PBE) of Ca4IrSe after structural relaxation.

Cell: 6.1223 6.1223 6.1223 Å, 60.00 60.00 60.00°
Closest atoms and distances in Å follow each position.
Sites, in units of the cell vectors:
1 Ca 0.3759 0.8723 0.3759  6 Ca 3.04-3.08
2 Ca 0.3759 0.3759 0.3759  6 Ca 3.04-3.08
3 Ca 0.3759 0.3759 0.8723  6 Ca 3.04-3.08
4 Ca 0.8723 0.3759 0.3759  6 Ca 3.04-3.08
5 Ir 0.7500 0.7500 0.7500  12 Ca 3.59, 4 Se 3.75
6 Se 0.0000 0.0000 0.0000  12 Ca 3.59, 4 Ir 3.75

Properties
Formation energy from raw total energies (eV/f.u.): 2.397



Entry 6:
The following is a DFT calculation (PBE) of CaIrSe3 after structural relaxation.

Cell: 4.9814 4.9814 4.9814 Å, 90.00 90.00 90.00°
Closest atoms and distances in Å follow each position.
Sites, in units of the cell vectors:
1 Se 0.0000 0.5000 0.0000  2 Ir 2.49
2 Se 0.5000 0.0000 0.0000  2 Ir 2.49
3 Se 0.0000 0.0000 0.5000  2 Ir 2.49
4 Ir 0.0000 0.0000 0.0000  6 Se 2.49
5 Ca 0.5000 0.5000 0.5000  12 Se 3.52

Properties
Excess energy over the best structure of this formula in the dataset (eV/atom): 0.0000
Formation energy from raw total energies (eV/f.u.): -1.454



Entry 7:
The following is a DFT calculation (PBE) of Ca2Ir2Se after structural relaxation.

Cell: 5.7238 5.7238 5.4414 Å, 58.27 58.27 90.00°
Closest atoms and distances in Å follow each position.
Sites, in units of the cell vectors:
1 Ca 0.7500 0.2500 0.5000  4 Ir 2.93
2 Ca 0.2500 0.7500 0.5000  4 Ir 2.93
3 Ir 0.6668 0.6668 0.6664  1 Se 2.42, 1 Ir 2.43
4 Ir 0.3332 0.3332 0.3336  1 Se 2.42, 1 Ir 2.43
5 Se 0.0000 0.0000 0.0000  2 Ir 2.42

Properties
Excess energy over the best structure of this formula in the dataset (eV/atom): 0.0050
Formation energy from raw total energies (eV/f.u.): -1.528



Entry 8:
The following is a DFT calculation (PBE) of CaIr2Se2 after structural relaxation.

Cell: 4.6349 4.6349 5.6555 Å, 65.81 65.81 90.00°
Closest atoms and distances in Å follow each position.
Sites, in units of the cell vectors:
1 Se 0.2500 0.7500 0.5000  4 Ir 2.53
2 Se 0.7500 0.2500 0.5000  4 Ir 2.53
3 Ir 0.6408 0.6408 0.7185  4 Se 2.53, 1 Ir 2.60
4 Ir 0.3592 0.3592 0.2815  4 Se 2.53, 1 Ir 2.60
5 Ca 0.0000 0.0000 0.0000  8 Se 3.27, 10 Ir 3.31-3.52

Properties
Excess energy over the best structure of this formula in the dataset (eV/atom): 0.0000
Formation energy from raw total energies (eV/f.u.): -1.829



Entry 9:
The following is a DFT calculation (PBE) of CaIrSe3 after structural relaxation.

Cell: 5.2990 5.2990 5.2990 Å, 90.00 90.00 90.00°
Closest atoms and distances in Å follow each position.
Sites, in units of the cell vectors:
1 Se 0.0000 0.0000 0.5000  2 Ca 2.65
2 Se 0.0000 0.5000 0.0000  2 Ca 2.65
3 Se 0.5000 0.0000 0.0000  2 Ca 2.65
4 Ir 0.5000 0.5000 0.5000  12 Se 3.75
5 Ca 0.0000 0.0000 0.0000  6 Se 2.65

Properties
Excess energy over the best structure of this formula in the dataset (eV/atom): 1.3639
Formation energy from raw total energies (eV/f.u.): 5.366



Entry 10:
The following is a DFT calculation (PBE) of Ca2IrSe after structural relaxation.

Cell: 3.5657 3.5657 6.8447 Å, 90.00 90.00 90.00°
Closest atoms and distances in Å follow each position.
Sites, in units of the cell vectors:
1 Ca 0.0000 0.0000 0.2486  4 Ir 3.04, 4 Se 3.05, 1 Ca 3.40
2 Ca 0.0000 0.0000 0.7514  4 Ir 3.04, 4 Se 3.05, 1 Ca 3.40
3 Ir 0.5000 0.5000 0.0000  8 Ca 3.04
4 Se 0.5000 0.5000 0.5000  8 Ca 3.05

Properties
Excess energy over the best structure of this formula in the dataset (eV/atom): 0.0000
Formation energy from raw total energies (eV/f.u.): -3.251



Entry 11:
The following is a DFT calculation (PBE) of Ca2IrSe after structural relaxation.

Cell: 5.7661 5.7661 4.1700 Å, 89.98 89.98 42.46°
Closest atoms and distances in Å follow each position.
Sites, in units of the cell vectors:
1 Ca 0.7340 0.7340 0.6251  4 Se 3.04, 3 Ir 3.09-3.10
2 Ca 0.0156 0.0156 0.1249  4 Ir 3.04, 3 Se 3.09-3.10
3 Se 0.3036 0.3036 0.1250  2 Ir 2.59
4 Ir 0.4468 0.4468 0.6250  2 Se 2.59

Properties
Excess energy over the best structure of this formula in the dataset (eV/atom): 0.0451
Formation energy from raw total energies (eV/f.u.): -3.071



Entry 12:
The following is a DFT calculation (PBE) of Ca2IrSe after structural relaxation.

Cell: 6.3905 6.3905 6.3905 Å, 147.03 138.65 53.87°
Closest atoms and distances in Å follow each position.
Sites, in units of the cell vectors:
1 Ca 0.0001 0.0001 0.0000  4 Ir 2.91, 2 Se 3.14
2 Ca 0.7209 0.2209 0.5000  4 Se 3.06, 2 Ir 3.38, 2 Ca 3.38
3 Se 0.3083 0.8083 0.5000  2 Ir 2.59
4 Ir 0.4707 0.4707 0.0000  2 Se 2.59

Properties
Excess energy over the best structure of this formula in the dataset (eV/atom): 0.1917
Formation energy from raw total energies (eV/f.u.): -2.484



Entry 13:
The following is a DFT calculation (PBE) of Ca2Ir2Se after structural relaxation.

Cell: 6.9373 6.9373 4.4127 Å, 90.00 90.00 90.00°
Closest atoms and distances in Å follow each position.
Sites, in units of the cell vectors:
1 Ca 0.6744 0.8256 0.5000  6 Ir 2.94-3.06
2 Ca 0.3256 0.1744 0.5000  6 Ir 2.94-3.06
3 Ca 0.8256 0.3256 0.5000  6 Ir 2.94-3.06
4 Ca 0.1744 0.6744 0.5000  6 Ir 2.94-3.06
5 Ir 0.3720 0.8720 0.0000  1 Ir 2.51, 2 Se 2.73
6 Ir 0.6280 0.1280 0.0000  1 Ir 2.51, 2 Se 2.73
7 Ir 0.1280 0.3720 0.0000  1 Ir 2.51, 2 Se 2.73
8 Ir 0.8720 0.6280 0.0000  1 Ir 2.51, 2 Se 2.73
9 Se 0.5000 0.5000 0.0000  4 Ir 2.73
10 Se 0.0000 0.0000 0.0000  4 Ir 2.73

Properties
Excess energy over the best structure of this formula in the dataset (eV/atom): 0.0000
Formation energy from raw total energies (eV/f.u.): -1.553



Entry 14:
The following is a DFT calculation (PBE) of CaIr2Se2 after structural relaxation.

Cell: 7.7579 7.7579 3.3191 Å, 90.00 90.00 90.00°
Closest atoms and distances in Å follow each position.
Sites, in units of the cell vectors:
1 Ca 0.0000 0.0000 0.0000  4 Ir 3.12, 8 Se 3.22, 2 Ca 3.32
2 Ca 0.5000 0.5000 0.0000  4 Ir 3.12, 8 Se 3.22, 2 Ca 3.32
3 Se 0.2781 0.2219 0.5000  2 Ir 2.44
4 Se 0.2219 0.7219 0.5000  2 Ir 2.44
5 Se 0.7219 0.7781 0.5000  2 Ir 2.44
6 Se 0.7781 0.2781 0.5000  2 Ir 2.44
7 Ir 0.3846 0.8846 0.0000  2 Se 2.44, 1 Ir 2.53
8 Ir 0.6154 0.1154 0.0000  2 Se 2.44, 1 Ir 2.53
9 Ir 0.1154 0.3846 0.0000  2 Se 2.44, 1 Ir 2.53
10 Ir 0.8846 0.6154 0.0000  2 Se 2.44, 1 Ir 2.53

Properties
Excess energy over the best structure of this formula in the dataset (eV/atom): 0.3058
Formation energy from raw total energies (eV/f.u.): -0.300